Entry 1:
## Ac2Cd2Ag (PBE)

Data for a relaxed Ac2Cd2Ag crystal.

Geometry as POSCAR:
```
Ac2Cd2Ag
1.0
6.193 -2.563 0.000
6.193 2.563 0.000
-4.053 0.000 9.497
Ac Cd Ag
4 4 2
Cartesian
-0.303 0.000 3.719
1.833 0.000 0.372
6.500 0.000 9.125
8.636 0.000 5.779
3.413 0.000 3.413
2.589 0.000 8.077
5.744 0.000 1.421
4.920 0.000 6.084
-0.117 0.000 6.950
8.450 0.000 2.548
```

Summary:
**V**: 301.5 Å³/cell
**Space-group type**: C2/m (12)
**Polymorph energy (0 for the lowest one)**: 16 meV per atom


Entry 2:
## LiTa2Ir (PBE)

Data for a relaxed LiTa2Ir crystal.

Geometry as POSCAR:
```
LiTa2Ir
1.0
-3.686 3.686 2.696
3.686 -3.686 2.696
3.686 3.686 -2.696
Li Ta Ir
2 4 2
Cartesian
0.000 0.000 0.000
0.000 3.686 1.348
1.843 2.115 -0.674
5.257 1.843 0.674
1.843 1.571 2.022
-1.571 1.843 3.369
3.686 0.000 1.348
0.000 0.000 2.696
```

Summary:
**V**: 146.5 Å³/cell
**Space-group type**: I-42d (122)


Entry 3:
## ZrPbAu2 (PBE)

Data for a relaxed ZrPbAu2 crystal.

Geometry as POSCAR:
```
ZrPbAu2
1.0
4.777 -1.698 0.000
4.777 1.698 0.000
-1.111 0.000 5.459
Zr Pb Au
1 1 2
Cartesian
0.000 0.000 0.000
4.222 0.000 2.730
1.622 0.000 4.284
6.821 0.000 1.175
```

Summary:
**V**: 88.6 Å³/cell
**Space-group type**: C2/m (12)


Entry 4:
## PuTh4N5 (PBE)

Data for a relaxed PuTh4N5 crystal.

Geometry as POSCAR:
```
PuTh4N5
1.0
-4.068 4.068 2.567
4.068 -4.068 2.567
4.068 4.068 -2.567
Pu Th N
1 4 5
Cartesian
0.000 0.000 0.000
3.252 1.639 0.000
2.429 -0.816 2.567
1.639 4.884 0.000
0.816 2.429 2.567
5.704 0.816 0.000
0.816 2.431 0.000
0.000 0.000 2.567
3.252 1.636 2.567
-1.636 3.252 2.567
```

Summary:
**V**: 169.9 Å³/cell
**Space-group type**: I4/m (87)
**Raw formation energy**: -1.50 eV/atom


Entry 5:
## Tm3Co2Ge4 (PBE)

Data for a relaxed Tm3Co2Ge4 crystal.

Geometry as POSCAR:
```
Tm3Co2Ge4
1.0
5.182 -2.141 0.000
5.182 2.141 0.000
-2.614 0.000 7.445
Tm Co Ge
3 2 4
Cartesian
0.000 0.000 0.000
2.455 0.000 2.615
5.296 0.000 4.830
2.548 0.000 5.628
5.203 0.000 1.818
-0.441 0.000 2.814
0.700 0.000 7.167
7.051 0.000 0.278
8.192 0.000 4.631
```

Summary:
**V**: 165.2 Å³/cell
**Space-group type**: C2/m (12)
**Polymorph energy (0 for the lowest one)**: 70 meV per atom


Entry 6:
## SbI3N (PBE)

Data for a relaxed SbI3N crystal.

Geometry as POSCAR:
```
SbI3N
1.0
6.018 0.000 0.000
0.000 6.018 0.000
0.000 0.000 6.018
Sb I N
1 3 1
Cartesian
0.000 0.000 0.000
0.000 0.000 3.009
0.000 3.009 0.000
3.009 0.000 0.000
3.009 3.009 3.009
```

Summary:
**V**: 217.9 Å³/cell
**Space-group type**: Pm-3m (221)
**Raw formation energy**: 0.88 eV/atom
**Polymorph energy (0 for the lowest one)**: 499 meV per atom


Entry 7:
## LiLa2NiRu (PBE)

Data for a relaxed LiLa2NiRu crystal.

Geometry as POSCAR:
```
LiLa2NiRu
1.0
5.452 0.000 0.000
0.000 5.452 0.000
0.000 0.000 4.698
Li La Ni Ru
1 2 1 1
Cartesian
0.000 0.000 0.000
0.000 2.726 2.349
2.726 0.000 2.349
2.726 2.726 0.000
2.726 2.726 2.349
```

Summary:
**V**: 139.6 Å³/cell
**Space-group type**: P4/mmm (123)


Entry 8:
## NiH4Rh (PBE)

Data for a relaxed NiH4Rh crystal.

Geometry as POSCAR:
```
NiH4Rh
1.0
2.961 -4.273 0.000
2.961 4.273 0.000
-2.954 0.000 2.981
Ni H Rh
2 8 2
Cartesian
0.745 3.209 2.236
2.223 -3.209 0.745
-0.702 2.135 2.207
-0.766 0.002 2.209
0.711 -0.002 0.718
2.193 2.135 2.265
0.775 -2.135 0.716
2.257 0.002 2.263
3.734 -0.002 0.772
3.670 -2.135 0.774
2.223 1.071 0.745
0.745 -1.071 2.236
```

Summary:
**V**: 75.4 Å³/cell
**Space-group type**: C2/c (15)
**Polymorph energy (0 for the lowest one)**: 0 meV per atom


Entry 9:
## Dy4Tm2Cd (PBE)

Data for a relaxed Dy4Tm2Cd crystal.

Geometry as POSCAR:
```
Dy4Tm2Cd
1.0
8.170 -1.735 0.000
8.170 1.735 0.000
-3.873 0.000 7.482
Dy Tm Cd
4 2 1
Cartesian
0.551 0.000 1.519
5.605 0.000 0.789
6.863 0.000 6.693
11.917 0.000 5.963
1.078 0.000 4.791
11.390 0.000 2.691
-1.936 0.000 3.741
```

Summary:
**V**: 212.1 Å³/cell
**Space-group type**: C2/m (12)


Entry 10:
## ZrMnAl2Se (PBE)

Data for a relaxed ZrMnAl2Se crystal.

Geometry as POSCAR:
```
ZrMnAl2Se
1.0
5.343 0.000 0.000
0.000 5.343 0.000
0.000 0.000 5.053
Zr Mn Al Se
1 1 2 1
Cartesian
0.000 0.000 0.000
2.671 2.671 2.527
0.000 2.671 0.000
2.671 0.000 0.000
0.000 0.000 2.527
```

Summary:
**V**: 144.3 Å³/cell
**Space-group type**: P4/mmm (123)
**Raw formation energy**: 0.72 eV/atom


Entry 11:
## YNiPtPb (PBE)

Data for a relaxed YNiPtPb crystal.

Geometry as POSCAR:
```
YNiPtPb
1.0
0.000 3.400 3.400
3.400 0.000 3.400
3.400 3.400 0.000
Y Ni Pt Pb
1 1 1 1
Cartesian
0.000 0.000 0.000
5.100 5.100 5.100
1.700 1.700 1.700
3.400 3.400 3.400
```

Summary:
**V**: 78.6 Å³/cell
**Space-group type**: F-43m (216)


Entry 12:
## Zn2Ga2Si (PBE)

Data for a relaxed Zn2Ga2Si crystal.

Geometry as POSCAR:
```
Zn2Ga2Si
1.0
7.863 0.000 0.000
0.000 7.863 0.000
0.000 0.000 2.782
Zn Ga Si
4 4 2
Cartesian
0.924 3.008 0.000
3.008 6.939 0.000
4.855 0.924 0.000
6.939 4.855 0.000
1.444 5.376 1.391
2.487 1.444 1.391
5.376 6.418 1.391
6.418 2.487 1.391
0.000 0.000 1.391
3.931 3.931 1.391
```

Summary:
**V**: 172.0 Å³/cell
**Space-group type**: P4/mbm (127)
**Raw formation energy**: 0.23 eV/atom
**Polymorph energy (0 for the lowest one)**: 0 meV per atom


Theoretical density, record by record: 8.67, 12.72, 12.98, 12.14, 9.20, 3.94, 5.29, 7.29, 8.62, 3.21, 11.61, 5.76 g/cm³
Energy, record by record: -2.844, -8.265, -4.897, -10.063, -5.764, -2.538, -5.238, -4.417, -3.998, -5.015, -5.975, -2.571 eV per atom